Entry 1:
The following is a DFT calculation (PBE-GGA) of an optimized crystal structure of Tb5Dy4Cd.

Unit cell a=8.0064 b=8.0064 c=8.0064 alpha=97.41 beta=97.41 gamma=137.90
Closest atoms and distances in Å follow each position.
Positions (direct):
Tb1 0.0000 0.0000 0.0000  2 Cd 2.75-3.00
Tb2 0.1058 0.1058 0.6299  1 Cd 3.07, 1 Tb 3.23, 2 Dy 3.33
Tb3 0.1058 0.4759 0.0000  1 Cd 3.07, 1 Tb 3.23, 2 Dy 3.33
Tb4 0.4759 0.1058 0.0000  1 Cd 3.07, 1 Tb 3.23, 2 Dy 3.33
Tb5 0.4759 0.4759 0.3701  1 Cd 3.07, 1 Tb 3.23, 2 Dy 3.33
Dy1 0.1226 0.8020 0.3206  5 Tb 3.33-3.71
Dy2 0.4814 0.8020 0.6794  5 Tb 3.33-3.71
Dy3 0.8020 0.1226 0.3206  5 Tb 3.33-3.71
Dy4 0.8020 0.4814 0.6794  5 Tb 3.33-3.71
Cd1 0.5211 0.5211 0.0000  6 Tb 2.75-3.07

Properties
SG: I4mm

Entry 2:
The following is a DFT calculation (PBE-GGA) of an optimized crystal structure of PmY2HoP4.

Unit cell a=6.9920 b=4.0392 c=6.9926 alpha=90.00 beta=109.47 gamma=90.00
Closest atoms and distances in Å follow each position.
Positions (direct):
Pm1 0.0000 0.0000 0.0000  6 P 2.88
Y1 0.0000 0.5000 0.5000  6 P 2.86
Y2 0.5000 0.0000 0.5000  6 P 2.83
Ho1 0.5000 0.5000 0.0000  6 P 2.85
P1 0.2536 0.0000 0.7490  3 Y 2.83-2.86, 2 Ho 2.85, 1 Pm 2.88
P2 0.2552 0.5000 0.2540  3 Y 2.83-2.86, 1 Ho 2.85, 2 Pm 2.88
P3 0.7448 0.5000 0.7460  3 Y 2.83-2.86, 1 Ho 2.85, 2 Pm 2.88
P4 0.7464 0.0000 0.2510  3 Y 2.83-2.86, 2 Ho 2.85, 1 Pm 2.88

Properties
SG: P2/m

Entry 3:
The following is a DFT calculation (PBE-GGA) of an optimized crystal structure of La2CdAs3Rh4.

Unit cell a=4.1647 b=4.1647 c=11.1995 alpha=90.00 beta=90.00 gamma=90.00
Closest atoms and distances in Å follow each position.
Positions (direct):
La1 0.0000 0.5000 0.2487  8 Rh 3.12-3.48, 4 As 3.25
La2 0.5000 0.0000 0.7513  8 Rh 3.12-3.48, 4 As 3.25
Cd1 0.0000 0.0000 0.5000  4 Rh 2.75, 4 As 2.94
As1 0.0000 0.5000 0.8740  5 Rh 2.40-2.52
As2 0.5000 0.0000 0.1260  5 Rh 2.40-2.52
As3 0.5000 0.5000 0.5000  4 Rh 2.75, 4 Cd 2.94
Rh1 0.0000 0.0000 0.0000  4 As 2.52
Rh2 0.0000 0.5000 0.6598  1 As 2.40
Rh3 0.5000 0.0000 0.3402  1 As 2.40
Rh4 0.5000 0.5000 0.0000  4 As 2.52

Properties
SG: P-4m2

Entry 4:
The following is a DFT calculation (PBE-GGA) of an optimized crystal structure of CdSn2I6.

Unit cell a=8.5666 b=8.5666 c=11.4550 alpha=108.63 beta=108.63 gamma=30.28
Closest atoms and distances in Å follow each position.
Positions (direct):
Cd1 0.0000 0.0000 0.0000  6 I 3.02-3.07
Sn1 0.3336 0.3336 0.6689  6 I 3.18-3.26
Sn2 0.6664 0.6664 0.3311  6 I 3.18-3.26
I1 0.0186 0.0186 0.2716  1 Cd 3.02, 2 Sn 3.22
I2 0.3121 0.3121 0.3757  3 Sn 3.20-3.26
I3 0.3659 0.3659 0.9583  2 Cd 3.07, 1 Sn 3.18
I4 0.6341 0.6341 0.0417  2 Cd 3.07, 1 Sn 3.18
I5 0.6879 0.6879 0.6243  3 Sn 3.20-3.26
I6 0.9814 0.9814 0.7284  1 Cd 3.02, 2 Sn 3.22

Properties
Energy relative to the elements, uncorrected: -0.524 eV per atom
SG: C2/m

Entry 5:
The following is a DFT calculation (PBE-GGA) of an optimized crystal structure of SrTa2Pb.

Unit cell a=8.5483 b=8.5483 c=5.8844 alpha=90.00 beta=90.00 gamma=90.00
Closest atoms and distances in Å follow each position.
Positions (direct):
Sr1 0.0000 0.0000 0.0000  2 Pb 2.94
Sr2 0.0000 0.5000 0.2500  2 Pb 2.94
Sr3 0.5000 0.0000 0.7500  2 Pb 2.94
Sr4 0.5000 0.5000 0.5000  2 Pb 2.94
Ta1 0.2096 0.2500 0.6250  2 Pb 2.88, 2 Ta 3.02
Ta2 0.2500 0.7096 0.8750  2 Pb 2.88, 2 Ta 3.02
Ta3 0.2500 0.7904 0.3750  2 Pb 2.88, 2 Ta 3.02
Ta4 0.2904 0.2500 0.1250  2 Pb 2.88, 2 Ta 3.02
Ta5 0.7096 0.7500 0.1250  2 Pb 2.88, 2 Ta 3.02
Ta6 0.7500 0.2096 0.3750  2 Pb 2.88, 2 Ta 3.02
Ta7 0.7500 0.2904 0.8750  2 Pb 2.88, 2 Ta 3.02
Ta8 0.7904 0.7500 0.6250  2 Pb 2.88, 2 Ta 3.02
Pb1 0.0000 0.0000 0.5000  4 Ta 2.88, 2 Sr 2.94
Pb2 0.0000 0.5000 0.7500  4 Ta 2.88, 2 Sr 2.94
Pb3 0.5000 0.0000 0.2500  4 Ta 2.88, 2 Sr 2.94
Pb4 0.5000 0.5000 0.0000  4 Ta 2.88, 2 Sr 2.94

Properties
SG: I-42d

Entry 6:
The following is a DFT calculation (PBE-GGA) of an optimized crystal structure of Ca3Pm2NdSe6.

Unit cell a=7.2267 b=7.2267 c=7.3711 alpha=99.43 beta=99.43 gamma=119.95
Closest atoms and distances in Å follow each position.
Positions (direct):
Ca1 0.0000 0.0000 0.0000  6 Se 2.94-2.96
Ca2 0.3337 0.6663 0.0000  6 Se 2.94-2.96
Ca3 0.6663 0.3337 0.0000  6 Se 2.94-2.96
Pm1 0.1667 0.8333 0.5000  6 Se 2.99
Pm2 0.8333 0.1667 0.5000  6 Se 2.99
Nd1 0.5000 0.5000 0.5000  6 Se 3.00-3.01
Se1 0.0800 0.4150 0.2449  3 Ca 2.94-2.96, 2 Pm 2.99, 1 Nd 3.00
Se2 0.2501 0.2501 0.7552  3 Ca 2.94-2.95, 2 Pm 2.99, 1 Nd 3.01
Se3 0.4150 0.0800 0.2449  3 Ca 2.94-2.96, 2 Pm 2.99, 1 Nd 3.00
Se4 0.5850 0.9200 0.7551  3 Ca 2.94-2.96, 2 Pm 2.99, 1 Nd 3.00
Se5 0.7499 0.7499 0.2448  3 Ca 2.94-2.95, 2 Pm 2.99, 1 Nd 3.01
Se6 0.9200 0.5850 0.7551  3 Ca 2.94-2.96, 2 Pm 2.99, 1 Nd 3.00

Properties
Energy relative to the elements, uncorrected: -1.906 eV per atom
SG: C2/m

These records have electronic total energy values of -4.103; -7.090; -6.260; -2.549; -5.982; -5.338 eV per atom, in the order they appear.
These records have magnetization values of 0.000; 0.000; 0.000; 0.000; 0.000; 0.000 μB per atom, in the order they appear.